No. 1
# Ho3Al2In, relaxed, DFT GGA-PBE
# Total energy = -26.432 eV/f.u.
# Volume = 144.45 Å³ per cell
# ΔH_f (0 K) = -0.412 eV/atom
data_Ho3Al2In
_cell_length_a 3.574
_cell_length_b 3.574
_cell_length_c 11.307
_cell_angle_alpha 90.00
_cell_angle_beta 90.00
_cell_angle_gamma 90.00
_symmetry_space_group_name_H-M 'P 4/m m m'
_symmetry_Int_Tables_number 123
_symmetry_space_group_name_Hall '-P 4 2'
loop_
_atom_site_label
_atom_site_type_symbol
_atom_site_fract_x
_atom_site_fract_y
_atom_site_fract_z
_atom_site_occupancy
Ho1 Ho 0.000 0.000 0.000 1
Ho2 Ho 0.000 0.000 0.321 1
Al1 Al 0.500 0.500 0.161 1
In1 In 0.500 0.500 0.500 1

---

No. 2
# Hg2H3F6, relaxed, DFT GGA-PBE
# Total energy = -37.396 eV/f.u.
# Volume = 633.41 Å³ per cell
data_Hg2H3F6
_cell_length_a 9.743
_cell_length_b 6.471
_cell_length_c 10.058
_cell_angle_alpha 90.00
_cell_angle_beta 92.77
_cell_angle_gamma 90.00
_symmetry_space_group_name_H-M 'C 1 2/c 1'
_symmetry_Int_Tables_number 15
loop_
_symmetry_equiv_pos_as_xyz
'x,y,z'
'-x,-y,-z'
'-x,y,-z+1/2'
'x,-y,z+1/2'
'x+1/2,y+1/2,z'
'-x+1/2,-y+1/2,-z'
'-x+1/2,y+1/2,-z+1/2'
'x+1/2,-y+1/2,z+1/2'
loop_
_atom_site_label
_atom_site_type_symbol
_atom_site_fract_x
_atom_site_fract_y
_atom_site_fract_z
_atom_site_occupancy
Hg1 Hg 0.113 0.239 0.028 1
H1 H 0.000 0.453 0.750 1
H2 H 0.170 0.172 0.323 1
F1 F 0.006 0.459 0.636 1
F2 F 0.094 0.091 0.415 1
F3 F 0.226 0.241 0.251 1

---

No. 3
# Pm2PrSn2, relaxed, DFT GGA-PBE
# Total energy = -24.381 eV/f.u.
# Energy above the lowest structure with this stoichiometry = 0.000 eV per atom
# Volume = 681.79 Å³ per cell
# ΔH_f (0 K) = -0.419 eV/atom
data_Pm2PrSn2
_cell_length_a 6.151
_cell_length_b 9.029
_cell_length_c 12.277
_cell_angle_alpha 90.00
_cell_angle_beta 90.00
_cell_angle_gamma 90.00
_symmetry_space_group_name_H-M 'I m m a'
_symmetry_Int_Tables_number 74
_symmetry_space_group_name_Hall '-I 2b 2'
loop_
_atom_site_label
_atom_site_type_symbol
_atom_site_fract_x
_atom_site_fract_y
_atom_site_fract_z
_atom_site_occupancy
Pm1 Pm 0.000 0.085 0.138 1
Pr1 Pr 0.000 0.250 0.629 1
Sn1 Sn 0.000 0.250 0.369 1
Sn2 Sn 0.000 0.250 0.898 1